VASP calculation (PBE) on crystalline NaCd12Pt4 at its relaxed geometry.

a b c (Å): 8.280 8.280 8.280
angles (deg): 109.47 109.47 109.47
Atoms (fractional coordinates):
Na (0.000, 0.000, 0.000)
Cd (0.160, 0.503, 0.343)
Cd (0.160, 0.818, 0.657)
Cd (0.182, 0.343, 0.840)
Cd (0.343, 0.160, 0.503)
Cd (0.343, 0.840, 0.182)
Cd (0.497, 0.657, 0.840)
Cd (0.503, 0.343, 0.160)
Cd (0.657, 0.160, 0.818)
Cd (0.657, 0.840, 0.497)
Cd (0.818, 0.657, 0.160)
Cd (0.840, 0.182, 0.343)
Cd (0.840, 0.497, 0.657)
Pt (0.000, 0.000, 0.500)
Pt (0.000, 0.500, 0.000)
Pt (0.500, 0.000, 0.000)
Pt (0.500, 0.500, 0.500)

Summary:
As for the space group: Im-3. The formation energy is -0.028 eV per atom. The crystal system is cubic.

VASP calculation (PBE) on crystalline Na17Cd11Pt at its relaxed geometry.

a b c (Å): 10.106 10.106 9.932
angles (deg): 109.07 109.07 110.44
Atoms (fractional coordinates):
Na (0.000, 0.000, 0.000)
Na (0.008, 0.008, 0.620)
Na (0.072, 0.663, 0.954)
Na (0.076, 0.348, 0.264)
Na (0.250, 0.250, 0.544)
Na (0.256, 0.958, 0.871)
Na (0.315, 0.647, 0.260)
Na (0.341, 0.660, 0.680)
Na (0.348, 0.076, 0.264)
Na (0.378, 0.967, 0.574)
Na (0.647, 0.315, 0.260)
Na (0.653, 0.653, 0.262)
Na (0.660, 0.341, 0.680)
Na (0.663, 0.072, 0.954)
Na (0.668, 0.668, 0.911)
Na (0.958, 0.256, 0.871)
Na (0.967, 0.378, 0.574)
Cd (0.020, 0.843, 0.266)
Cd (0.021, 0.661, 0.455)
Cd (0.297, 0.475, 0.910)
Cd (0.464, 0.464, 0.426)
Cd (0.475, 0.297, 0.910)
Cd (0.475, 0.838, 0.082)
Cd (0.659, 0.839, 0.634)
Cd (0.661, 0.021, 0.455)
Cd (0.838, 0.475, 0.082)
Cd (0.839, 0.659, 0.634)
Cd (0.843, 0.020, 0.266)
Pt (0.308, 0.308, 0.087)

Summary:
As for the space group: Cm. The formation energy is -0.098 eV per atom. The crystal system is monoclinic.

VASP calculation (PBE) on crystalline Na3Cd4Pt2 at its relaxed geometry.

a b c (Å): 4.787 4.787 9.096
angles (deg): 90.06 90.06 60.07
Atoms (fractional coordinates):
Na (0.000, 0.000, 0.000)
Na (0.333, 0.333, 0.547)
Na (0.667, 0.667, 0.453)
Cd (0.000, 0.000, 0.318)
Cd (0.000, 0.000, 0.682)
Cd (0.333, 0.333, 0.882)
Cd (0.667, 0.667, 0.118)
Pt (0.333, 0.333, 0.208)
Pt (0.667, 0.667, 0.792)

Summary:
As for the space group: C2/m. The calculation puts the relative energy among the computed polymorphs at 0 meV/atom. The formation energy is -0.229 eV per atom. The crystal system is monoclinic.

VASP calculation (PBE) on crystalline Na2Cd3Pt2 at its relaxed geometry.

a b c (Å): 10.263 4.551 7.267
angles (deg): 90.00 113.98 90.00
Atoms (fractional coordinates):
Na (0.155, 0.000, 0.290)
Na (0.345, 0.500, 0.710)
Na (0.655, 0.500, 0.290)
Na (0.845, 0.000, 0.710)
Cd (0.000, 0.500, 0.500)
Cd (0.131, 0.500, 0.948)
Cd (0.369, 0.000, 0.052)
Cd (0.500, 0.000, 0.500)
Cd (0.631, 0.000, 0.948)
Cd (0.869, 0.500, 0.052)
Pt (0.126, 0.000, 0.700)
Pt (0.374, 0.500, 0.300)
Pt (0.626, 0.500, 0.700)
Pt (0.874, 0.000, 0.300)

Summary:
As for the space group: C2/m. The formation energy is -0.259 eV per atom. The crystal system is monoclinic.

VASP calculation (PBE) on crystalline NaCdPt at its relaxed geometry.

a b c (Å): 4.782 4.782 2.893
angles (deg): 90.00 90.00 120.00
Atoms (fractional coordinates):
Na (0.000, 0.000, 0.000)
Cd (0.333, 0.667, 0.616)
Pt (0.667, 0.333, 0.390)

Summary:
As for the space group: P3m1. The calculation puts the relative energy among the computed polymorphs at 134 meV/atom. The formation energy is -0.187 eV per atom. The crystal system is trigonal.

VASP calculation (PBE) on crystalline NaCd3Pt at its relaxed geometry.

a b c (Å): 4.489 4.489 6.235
angles (deg): 90.00 90.00 90.00
Atoms (fractional coordinates):
Na (0.000, 0.000, 0.000)
Cd (0.000, 0.500, 0.432)
Cd (0.500, 0.000, 0.432)
Cd (0.500, 0.500, 0.756)
Pt (0.500, 0.500, 0.180)

Summary:
As for the space group: P4mm. The calculation puts the relative energy among the computed polymorphs at 77 meV/atom. The formation energy is -0.129 eV per atom. The crystal system is tetragonal.

Copy entry 5 word for word.
VASP calculation (PBE) on crystalline NaCdPt at its relaxed geometry.

a b c (Å): 4.782 4.782 2.893
angles (deg): 90.00 90.00 120.00
Atoms (fractional coordinates):
Na (0.000, 0.000, 0.000)
Cd (0.333, 0.667, 0.616)
Pt (0.667, 0.333, 0.390)

Summary:
As for the space group: P3m1. The calculation puts the relative energy among the computed polymorphs at 134 meV/atom. The formation energy is -0.187 eV per atom. The crystal system is trigonal.